Below is a geometry-optimized NbSnAu2 structure, with properties calculated at the PBE level.

a b c (Å): 3.0477 3.0477 8.5713
angles (deg): 90.00 90.00 90.00
Element x y z (fractional)
Au 0.0000 0.0000 0.2745
Nb 0.5000 0.5000 0.5000
Au 0.0000 0.0000 0.7255
Sn 0.5000 0.5000 0.0000

Summary:
SG: P4/mmm, No. 123
DFT total energy, eV/atom: -5.211
Crystal system: tetragonal
Calculated formation energy, eV per atom: -0.05

=====

Below is a geometry-optimized Ni2SbHIr structure, with properties calculated at the PBE level.

a b c (Å): 3.9240 3.9240 3.8184
angles (deg): 90.00 90.00 90.00
Element x y z (fractional)
Ni 0.0000 0.5000 0.0000
Ni 0.5000 0.0000 0.0000
H 0.0000 0.0000 0.0000
Sb 0.5000 0.5000 0.5000
Ir 0.0000 0.0000 0.5000

Summary:
SG: P4/mmm, No. 123
DFT total energy, eV/atom: -5.610
Crystal system: tetragonal

=====

Below is a geometry-optimized Ta2CdIr structure, with properties calculated at the PBE level.

a b c (Å): 3.4485 3.4485 6.0318
angles (deg): 90.00 90.00 90.00
Element x y z (fractional)
Ta 0.0000 0.0000 0.5288
Ir 0.5000 0.5000 0.7500
Cd 0.5000 0.5000 0.2500
Ta 0.0000 0.0000 0.9712

Summary:
SG: P4/mmm, No. 123
DFT total energy, eV/atom: -8.274
Crystal system: tetragonal
Calculated formation energy, eV per atom: 0.10

=====

Below is a geometry-optimized ScFe2P structure, with properties calculated at the PBE level.

a b c (Å): 3.7488 3.3259 4.9696
angles (deg): 70.40 90.00 90.00
Site moments in Bohr magnetons follow the coordinates.
Element x y z (fractional)
Fe 0.0000 0.0106 0.1039  2.75
Fe 0.5000 0.4556 0.2152  2.06
P 0.0000 0.3116 0.5013  0.03
Sc 0.5000 0.7222 0.6795  -0.04

Summary:
SG: Amm2, No. 38
DFT total energy, eV/atom: -7.568
Crystal system: orthorhombic
Calculated formation energy, eV per atom: -0.40

=====

Below is a geometry-optimized ErHfAl structure, with properties calculated at the PBE level.

a b c (Å): 4.3273 7.5323 7.5323
angles (deg): 120.00 90.00 90.00
Element x y z (fractional)
Al 0.5000 0.3333 0.6667
Hf 0.5000 0.2410 0.2410
Al 0.5000 0.6667 0.3333
Hf 0.5000 0.0000 0.7590
Er 0.0000 0.4124 0.0000
Er 0.0000 0.0000 0.4124
Hf 0.5000 0.7590 0.0000
Al 0.0000 0.0000 0.0000
Er 0.0000 0.5876 0.5876

Summary:
SG: P-62m, No. 189
Energy above the lowest structure with this stoichiometry, meV per atom: 29.9
DFT total energy, eV/atom: -6.251
Crystal system: hexagonal
Calculated formation energy, eV per atom: -0.17

=====

Below is a geometry-optimized KRe4O8F13 structure, with properties calculated at the PBE level.

a b c (Å): 14.5628 14.5628 5.6254
angles (deg): 81.40 81.40 21.42
Element x y z (fractional)
F 0.1937 0.7039 0.9054
O 0.7085 0.1369 0.8157
F 0.2961 0.8063 0.0946
F 0.9904 0.5291 0.4925
Re 0.0298 0.1189 0.9278
O 0.9176 0.8197 0.1553
F 0.0622 0.8434 0.3354
O 0.9822 0.3757 0.3067
O 0.8631 0.2915 0.1843
F 0.4709 0.0096 0.5075
O 0.1803 0.0824 0.8447
F 0.1566 0.9378 0.6646
F 0.3701 0.2671 0.2800
F 0.8438 0.1562 0.0000
O 0.4861 0.8320 0.3229
Re 0.3278 0.2701 0.6125
O 0.6243 0.0178 0.6933
F 0.7270 0.7655 0.1155
Re 0.7299 0.6722 0.3875
O 0.1680 0.5139 0.6771
K 0.4976 0.5024 0.5000
F 0.7329 0.6299 0.7200
F 0.7511 0.4016 0.7246
F 0.2345 0.2730 0.8845
F 0.5984 0.2489 0.2754
Re 0.8811 0.9702 0.0722

Summary:
SG: C2, No. 5
DFT total energy, eV/atom: -6.474
Crystal system: monoclinic

=====

Below is a geometry-optimized Tc3Ni5 structure, with properties calculated at the PBE level.

a b c (Å): 6.6480 6.8705 6.6559
angles (deg): 99.25 94.40 136.96
Element x y z (fractional)
Ni 0.3432 0.0077 0.0834
Ni 0.6560 0.9924 0.9167
Tc 0.2075 0.2511 0.9570
Tc 0.8321 0.0015 0.5806
Ni 0.9550 0.7415 0.7048
Ni 0.0440 0.2584 0.2951
Ni 0.7068 0.2506 0.4574
Tc 0.9198 0.5009 0.1683
Tc 0.7917 0.7489 0.0430
Ni 0.5754 0.4929 0.3365
Ni 0.4237 0.5071 0.6635
Ni 0.4633 0.7596 0.2145
Ni 0.2924 0.7493 0.5426
Tc 0.1671 0.9985 0.4194
Ni 0.5358 0.2403 0.7855
Tc 0.0794 0.4991 0.8317

Summary:
SG: P-1, No. 2
Energy above the lowest structure with this stoichiometry, meV per atom: 0.0
DFT total energy, eV/atom: -7.495
Crystal system: triclinic
Calculated formation energy, eV per atom: 0.01

=====

Below is a geometry-optimized Nb5MoRu2 structure, with properties calculated at the PBE level.

a b c (Å): 5.5803 5.5803 5.5803
angles (deg): 109.36 109.36 109.69
Element x y z (fractional)
Nb 0.2779 0.7779 0.0000
Ru 0.2778 0.7778 0.5000
Mo 0.7779 0.7779 0.0000
Ru 0.7778 0.2778 0.5000
Nb 0.7779 0.2779 0.0000
Nb 0.7779 0.7779 0.5000
Nb 0.2779 0.2779 0.0000
Nb 0.2779 0.2779 0.5000

Summary:
SG: I4/mmm, No. 139
DFT total energy, eV/atom: -10.202
Crystal system: tetragonal
Calculated formation energy, eV per atom: -0.24

=====

| no. | total magnetization (μB per cell) |
| --- | --- |
| 1 | 0.0 |
| 2 | 0.0 |
| 3 | 0.0 |
| 4 | 4.8 |
| 5 | 0.0 |
| 6 | 0.0 |
| 7 | 0.0 |
| 8 | 0.0 |